(1)
Crystalline La2TaBe at its relaxed geometry, computed with PBE.

The structure in CIF format:
```
data_La2TaBe
_chemical_formula_sum 'La2 Ta1 Be1'
_space_group_name_H-M_alt 'P 4 m m'
_space_group_IT_number 99
_cell_length_a 3.439
_cell_length_b 3.439
_cell_length_c 8.443
_cell_angle_alpha 90.00
_cell_angle_beta 90.00
_cell_angle_gamma 90.00
loop_
_space_group_symop_operation_xyz
'x,y,z'
'-y,x,z'
'-x,-y,z'
'y,-x,z'
'-x,y,z'
'y,x,z'
'x,-y,z'
'-y,-x,z'
loop_
_atom_site_label
_atom_site_fract_x
_atom_site_fract_y
_atom_site_fract_z
_atom_site_occupancy
La1 0.000 0.000 0.000 1
La2 0.500 0.500 0.406 1
Ta1 0.000 0.000 0.666 1
Be1 0.500 0.500 0.763 1
```

Properties
As for the crystal system: tetragonal. Its energy of formation from the pure elements is 0.25 eV/atom.

=====

(2)
Crystalline LiY2ThHg4 at its relaxed geometry, computed with PBE.

The structure in CIF format:
```
data_LiY2ThHg4
_chemical_formula_sum 'Li3 Y6 Th3 Hg12'
_space_group_name_H-M_alt 'R -3 m'
_space_group_IT_number 166
_space_group_name_Hall '-R 3 2"'
_cell_length_a 5.1097
_cell_length_b 5.1097
_cell_length_c 26.8847
_cell_angle_alpha 90.00
_cell_angle_beta 90.00
_cell_angle_gamma 120.00
loop_
_atom_site_label
_atom_site_fract_x
_atom_site_fract_y
_atom_site_fract_z
_atom_site_occupancy
Li1 0.0000 0.0000 0.0000 1
Y1 0.0000 0.0000 0.2571 1
Th1 0.0000 0.0000 0.5000 1
Hg1 0.0000 0.0000 0.1175 1
Hg2 0.0000 0.0000 0.3712 1
```

Properties
As for the crystal system: trigonal. Its energy of formation from the pure elements is -0.38 eV/atom.

=====

(3)
Crystalline Cs3Nb9Te4O32 at its relaxed geometry, computed with PBE.

The structure in CIF format:
```
data_Cs3Nb9Te4O32
_chemical_formula_sum 'Cs12 Nb36 Te16 O128'
_space_group_name_H-M_alt 'C m c m'
_space_group_IT_number 63
_space_group_name_Hall '-C 2c 2'
_cell_length_a 37.683
_cell_length_b 10.904
_cell_length_c 7.538
_cell_angle_alpha 90.00
_cell_angle_beta 90.00
_cell_angle_gamma 90.00
loop_
_atom_site_label
_atom_site_fract_x
_atom_site_fract_y
_atom_site_fract_z
_atom_site_occupancy
Cs1 0.000 0.142 0.250 1
Cs2 0.106 0.340 0.250 1
Nb1 0.000 0.500 0.000 1
Nb2 0.048 0.259 0.750 1
Nb3 0.094 0.000 0.000 1
Nb4 0.150 0.258 0.750 1
Nb5 0.199 0.500 0.000 1
Te1 0.183 0.000 0.000 1
Te2 0.250 0.234 0.250 1
O1 0.000 0.189 0.750 1
O2 0.000 0.443 0.250 1
O3 0.038 0.374 0.564 1
O4 0.063 0.128 0.560 1
O5 0.100 0.054 0.250 1
O6 0.102 0.295 0.750 1
O7 0.144 0.113 0.563 1
O8 0.164 0.375 0.565 1
O9 0.184 0.081 0.250 1
O10 0.201 0.447 0.250 1
O11 0.204 0.189 0.750 1
O12 0.239 0.374 0.555 1
```

Properties
As for the crystal system: orthorhombic. Its formation energy from raw total energies is -208.7 kJ/mol of atoms.

=====

(4)
Crystalline NbCuGe2 at its relaxed geometry, computed with PBE.

The structure in CIF format:
```
data_NbCuGe2
_chemical_formula_sum 'Nb3 Cu3 Ge6'
_space_group_name_H-M_alt 'R -3 m'
_space_group_IT_number 166
_space_group_name_Hall '-R 3 2"'
_cell_length_a 2.9922
_cell_length_b 2.9922
_cell_length_c 27.2840
_cell_angle_alpha 90.00
_cell_angle_beta 90.00
_cell_angle_gamma 120.00
loop_
_atom_site_label
_atom_site_fract_x
_atom_site_fract_y
_atom_site_fract_z
_atom_site_occupancy
Nb1 0.0000 0.0000 0.0000 1
Cu1 0.0000 0.0000 0.5000 1
Ge1 0.0000 0.0000 0.4138 1
```

Properties
As for the crystal system: trigonal. Its energy of formation from the pure elements is 0.05 eV/atom.

=====

(5)
Crystalline SmMg2W3S8 at its relaxed geometry, computed with PBE.

The structure in CIF format:
```
data_SmMg2W3S8
_chemical_formula_sum 'Sm2 Mg4 W6 S16'
_space_group_name_H-M_alt 'C 1 m 1'
_space_group_IT_number 8
_cell_length_a 12.297
_cell_length_b 6.964
_cell_length_c 7.744
_cell_angle_alpha 90.00
_cell_angle_beta 123.30
_cell_angle_gamma 90.00
loop_
_space_group_symop_operation_xyz
'x,y,z'
'x,-y,z'
'x+1/2,y+1/2,z'
'x+1/2,-y+1/2,z'
loop_
_atom_site_label
_atom_site_fract_x
_atom_site_fract_y
_atom_site_fract_z
_atom_site_occupancy
Sm1 0.000 0.000 0.000 1
Mg1 0.149 0.500 0.946 1
Mg2 0.490 0.000 0.474 1
W1 0.022 0.000 0.511 1
W2 0.225 0.192 0.498 1
S1 0.229 0.500 0.706 1
S2 0.250 0.000 0.772 1
S3 0.256 0.000 0.263 1
S4 0.265 0.500 0.327 1
S5 0.477 0.243 0.706 1
S6 0.493 0.257 0.263 1
```

Properties
As for the crystal system: monoclinic. The calculation puts the energy above the most stable polymorph in this dataset at 0 meV per atom. Its formation energy from raw total energies is -92.8 kJ/mol of atoms.

=====

(6)
Crystalline Pm12GaRh6 at its relaxed geometry, computed with PBE.

The structure in CIF format:
```
data_Pm12GaRh6
_chemical_formula_sum 'Pm36 Ga3 Rh18'
_space_group_name_H-M_alt 'R -3'
_space_group_IT_number 148
_space_group_name_Hall '-R 3'
_cell_length_a 13.1735
_cell_length_b 13.1735
_cell_length_c 11.1692
_cell_angle_alpha 90.00
_cell_angle_beta 90.00
_cell_angle_gamma 120.00
loop_
_atom_site_label
_atom_site_fract_x
_atom_site_fract_y
_atom_site_fract_z
_atom_site_occupancy
Pm1 0.0299 0.2116 0.3852 1
Pm2 0.0361 0.2165 0.8879 1
Ga1 0.0000 0.0000 0.0000 1
Rh1 0.0448 0.2594 0.6446 1
```

Properties
As for the crystal system: trigonal. Its energy of formation from the pure elements is -0.46 eV/atom. The calculation puts the energy above the most stable polymorph in this dataset at 53 meV per atom.

=====

Calculated spin magnetization in order - 0.00 0.00 0.00 0.00 0.07 0.00 μB/atom